Record 1
5
Lattice="-2.773 -2.910 2.884 0.668 -3.757 -3.149 4.139 -5.101 3.077" Properties=species:S:1:pos:R:3 comment="La2Al2Pb (PBE, optimized geometry)" formation_enthalpy_0k_ev_per_atom=0.0695 final_energy_ev_per_atom=-4.14 space_group="I4/mmm (139)" pbc="T T T"
La 1.877 -6.096 -0.103
La 0.157 -5.672 2.914
Pb 0.000 0.000 0.000
Al 2.083 -8.093 2.323
Al -0.049 -3.675 0.488

Record 2
5
Lattice="4.707 0.000 0.000 0.000 4.707 0.000 0.000 0.000 4.707" Properties=species:S:1:pos:R:3 comment="TiRe3Ag (PBE, optimized geometry)" formation_enthalpy_0k_ev_per_atom=2.8170 final_energy_ev_per_atom=-6.80 e_above_lowest_polymorph_mev_per_atom=875 space_group="Pm-3m (221)" pbc="T T T"
Ag 0.000 0.000 0.000
Re 0.000 0.000 2.353
Re 0.000 2.353 0.000
Re 2.353 0.000 0.000
Ti 2.353 2.353 2.353

Record 3
4
Lattice="3.769 0.000 0.000 0.000 3.769 0.000 0.000 0.000 5.705" Properties=species:S:1:pos:R:3 comment="MgAs2Au (PBE, optimized geometry)" formation_enthalpy_0k_ev_per_atom=-0.1021 final_energy_ev_per_atom=-3.64 space_group="P4mm (99)" pbc="T T T"
Au 0.000 0.000 3.145
As 0.000 0.000 0.376
As 1.884 1.884 1.063
Mg 1.884 1.884 3.973

Record 4
5
Lattice="-1.587 1.772 4.025 -0.768 -4.552 1.701 4.337 -0.079 1.745" Properties=species:S:1:pos:R:3 comment="NaSbOs2Br (PBE, optimized geometry)" final_energy_ev_per_atom=-4.37 space_group="P4/mmm (123)" pbc="T T T"
Br 0.000 0.000 0.000
Sb 0.991 -1.430 3.736
Os -0.794 0.886 2.013
Os 2.169 -0.040 0.873
Na -0.384 -2.276 0.851

Record 5
10
Lattice="8.340 0.000 0.000 0.000 8.340 0.000 0.000 0.000 3.564" Properties=species:S:1:pos:R:3 comment="YZn2Pb2 (PBE, optimized geometry)" formation_enthalpy_0k_ev_per_atom=0.0135 final_energy_ev_per_atom=-3.27 e_above_lowest_polymorph_mev_per_atom=142 space_group="P4/mbm (127)" pbc="T T T"
Pb 7.164 5.346 0.000
Pb 5.346 1.176 0.000
Pb 2.994 7.164 0.000
Pb 1.176 2.994 0.000
Zn 1.326 5.496 1.782
Zn 2.844 1.326 1.782
Zn 7.015 2.844 1.782
Zn 5.496 7.015 1.782
Y 0.000 0.000 0.000
Y 4.170 4.170 0.000

Record 6
14
Lattice="-1.740 0.529 3.824 -6.521 -2.870 -2.570 2.271 -6.945 1.994" Properties=species:S:1:pos:R:3 comment="Li4CaPt2 (PBE, optimized geometry)" formation_enthalpy_0k_ev_per_atom=-0.5010 final_energy_ev_per_atom=-3.61 space_group="P4_2/mnm (136)" pbc="T T T"
Li -2.050 -1.694 -0.699
Li -4.393 -7.104 -1.016
Li -5.498 -4.953 0.528
Li -0.492 -4.333 2.720
Li -1.552 -6.782 2.576
Li -4.438 -2.504 0.671
Li -2.199 -8.120 0.122
Li 0.143 -2.711 0.440
Ca -0.870 0.264 1.912
Ca -2.125 -4.907 -0.288
Pt -2.081 -2.533 1.748
Pt -4.631 -3.746 -1.589
Pt 0.381 -6.069 1.013
Pt -3.908 -6.753 1.500